# 1
Entry from Alexandria via LeMat-Bulk: a crystal of LiIn2Cu relaxed with PBEsol (SCAN).

```
LiIn2Cu
1.0
-3.088 0.549 -0.341
0.444 -0.256 -4.433
-0.886 -4.863 0.192
In Cu Li
2 1 1
Direct
0.000 0.000 0.072
0.000 0.500 0.670
0.500 0.500 0.211
0.500 0.000 0.548
```

Calculated values
calculated density	7.16	Mg/m³
VASP energy	-84.81	eV/cell
total magnetization	0.000	μB per atom
calculated formation energy	-0.111	eV/atom


# 2
Entry from Alexandria via LeMat-Bulk: a crystal of LiIn2Cu relaxed with PBEsol (SCAN).

```
LiIn2Cu
1.0
3.015 0.000 0.000
0.000 3.015 0.000
0.000 0.000 7.955
In Cu Li
2 1 1
Direct
0.000 0.000 0.729
0.000 0.000 0.271
0.500 0.500 0.500
0.500 0.500 0.000
```

Calculated values
calculated density	6.89	Mg/m³
VASP energy	-84.88	eV/cell
total magnetization	0.000	μB per atom
calculated formation energy	-0.129	eV/atom


# 3
Entry from Alexandria via LeMat-Bulk: a crystal of LiIn2Cu relaxed with PBEsol (SCAN).

```
LiIn2Cu
1.0
-3.114 -0.083 0.413
-1.233 -1.734 2.313
-0.905 6.353 6.414
Cu In Li
1 2 1
Direct
0.000 0.000 0.000
0.255 0.255 0.234
0.745 0.745 0.766
0.500 0.500 0.500
```

Calculated values
calculated density	6.56	Mg/m³
VASP energy	-84.39	eV/cell
total magnetization	0.000	μB per atom
calculated formation energy	-0.006	eV/atom


# 4
Entry from Alexandria via LeMat-Bulk: a crystal of LiInCu4 relaxed with PBEsol (SCAN).

```
LiInCu4
1.0
-1.846 2.010 4.039
-4.698 1.288 0.153
-3.128 -2.517 2.764
Cu In Li
4 1 1
Direct
0.375 0.375 0.375
0.375 0.375 0.876
0.876 0.375 0.375
0.375 0.876 0.375
0.750 0.750 0.750
0.000 0.000 0.000
```

Calculated values
calculated density	7.63	Mg/m³
VASP energy	-97.15	eV/cell
total magnetization	0.000	μB per atom
calculated formation energy	-0.096	eV/atom


# 5
Entry from Alexandria via LeMat-Bulk: a crystal of LuInCu2 relaxed with PBEsol (SCAN).

```
LuInCu2
1.0
-3.563 -2.829 -0.028
0.441 -4.230 1.616
-2.013 -1.162 3.911
Lu Cu In
1 2 1
Direct
0.500 0.500 0.500
0.750 0.750 0.750
0.250 0.250 0.250
0.000 0.000 0.000
```

Calculated values
calculated density	10.39	Mg/m³
VASP energy	-120.68	eV/cell
total magnetization	0.000	μB per atom
calculated formation energy	-0.388	eV/atom


# 6
Entry from Alexandria via LeMat-Bulk: a crystal of MgInCu relaxed with PBEsol (SCAN).

```
MgInCu
1.0
3.136 0.000 0.000
0.000 4.482 0.000
0.000 -2.241 3.881
Mg Cu In
1 1 1
Direct
0.500 0.333 0.667
0.000 0.000 0.000
0.000 0.667 0.333
```

Calculated values
calculated density	6.17	Mg/m³
VASP energy	-53.79	eV/cell
total magnetization	0.000	μB per atom
calculated formation energy	-0.076	eV/atom


# 7
Entry from Alexandria via LeMat-Bulk: a crystal of Mg3InCu relaxed with PBEsol (SCAN).

```
Mg3InCu
1.0
-2.037 4.081 -2.551
-4.647 -0.948 2.194
1.251 3.124 3.998
Mg Cu In
3 1 1
Direct
0.000 0.500 0.000
0.000 0.000 0.500
0.500 0.000 0.000
0.500 0.500 0.500
0.000 0.000 0.000
```

Calculated values
calculated density	2.92	Mg/m³
VASP energy	-60.38	eV/cell
total magnetization	0.000	μB per atom
calculated formation energy	0.625	eV/atom


# 8
Entry from Alexandria via LeMat-Bulk: a crystal of MgInCu relaxed with PBEsol (SCAN).

```
MgInCu
1.0
3.111 0.030 0.000
-0.020 3.112 0.000
-1.546 -1.571 5.538
Mg Cu In
1 1 1
Direct
0.354 0.354 0.709
0.997 0.997 0.995
0.648 0.648 0.297
```

Calculated values
calculated density	6.28	Mg/m³
VASP energy	-53.74	eV/cell
total magnetization	0.000	μB per atom
calculated formation energy	-0.061	eV/atom


# 9
Entry from Alexandria via LeMat-Bulk: a crystal of MnIn2Cu relaxed with PBEsol (SCAN).

```
MnIn2Cu
1.0
3.033 0.000 0.000
1.517 2.627 0.000
1.517 0.876 8.659
Cu In Mn
1 2 1
Direct
0.000 0.000 0.000
0.252 0.252 0.245
0.748 0.748 0.755
0.500 0.500 0.500
```

Calculated values
calculated density	8.38	Mg/m³
VASP energy	-99.61	eV/cell
total magnetization	0.962	μB per atom
calculated formation energy	0.153	eV/atom


# 10
Entry from Alexandria via LeMat-Bulk: a crystal of MnInCu relaxed with PBEsol (SCAN).

```
MnInCu
1.0
2.995 0.000 0.000
-1.497 2.594 0.000
0.000 0.000 6.238
Cu In Mn
1 1 1
Direct
0.000 0.000 0.017
0.667 0.333 0.674
0.333 0.667 0.309
```

Calculated values
calculated density	8.00	Mg/m³
VASP energy	-66.44	eV/cell
total magnetization	1.330	μB per atom
calculated formation energy	0.133	eV/atom


# 11
Entry from Alexandria via LeMat-Bulk: a crystal of MnIn2Cu relaxed with PBEsol (SCAN).

```
MnIn2Cu
1.0
-1.580 0.120 -2.590
-2.216 -1.637 1.276
-3.398 6.449 2.371
Cu In Mn
1 2 1
Direct
0.500 0.500 0.717
0.000 0.000 0.948
0.500 0.500 0.298
0.000 0.000 0.537
```

Calculated values
calculated density	8.18	Mg/m³
VASP energy	-99.99	eV/cell
total magnetization	1.013	μB per atom
calculated formation energy	0.059	eV/atom


# 12
Entry from Alexandria via LeMat-Bulk: a crystal of Mn2InCu relaxed with PBEsol (SCAN).

```
Mn2InCu
1.0
3.006 0.000 0.000
0.000 3.006 0.000
0.000 0.000 6.130
Cu In Mn
1 1 2
Direct
0.000 0.000 0.468
0.500 0.500 0.747
0.000 0.000 0.048
0.500 0.500 0.237
```

Calculated values
calculated density	8.64	Mg/m³
VASP energy	-85.39	eV/cell
total magnetization	0.069	μB per atom
calculated formation energy	-0.075	eV/atom


# 13
Entry from Alexandria via LeMat-Bulk: a crystal of MnIn3Cu relaxed with PBEsol (SCAN).

```
MnIn3Cu
1.0
-2.018 1.116 4.379
-1.872 -4.571 0.303
4.113 -1.533 2.286
Mn Cu In
1 1 3
Direct
0.000 0.000 0.000
0.500 0.500 0.500
0.000 0.500 0.000
0.000 0.000 0.500
0.500 0.000 0.000
```

Calculated values
calculated density	6.34	Mg/m³
VASP energy	-130.86	eV/cell
total magnetization	0.487	μB per atom
calculated formation energy	0.550	eV/atom


# 14
Entry from Alexandria via LeMat-Bulk: a crystal of MnInCu relaxed with PBEsol (SCAN).

```
MnInCu
1.0
2.868 0.000 0.000
0.000 3.877 0.000
-1.434 -1.939 4.103
Cu In Mn
1 1 1
Direct
0.996 0.996 0.992
0.667 0.667 0.333
0.337 0.337 0.675
```

Calculated values
calculated density	8.49	Mg/m³
VASP energy	-66.70	eV/cell
total magnetization	1.331	μB per atom
calculated formation energy	0.047	eV/atom


# 15
Entry from Alexandria via LeMat-Bulk: a crystal of Mn3InCu relaxed with PBEsol (SCAN).

```
Mn3InCu
1.0
-0.784 -1.884 3.962
-0.619 -3.937 -1.994
4.343 -0.901 0.431
Mn Cu In
3 1 1
Direct
0.000 0.500 0.000
0.000 0.000 0.500
0.500 0.000 0.000
0.000 0.000 0.000
0.500 0.500 0.500
```

Calculated values
calculated density	6.44	Mg/m³
VASP energy	-101.42	eV/cell
total magnetization	2.366	μB per atom
calculated formation energy	0.386	eV/atom


# 16
Entry from Alexandria via LeMat-Bulk: a crystal of MnIn2Cu relaxed with PBEsol (SCAN).

```
MnIn2Cu
1.0
3.643 0.000 0.000
0.000 4.233 0.307
0.000 -0.304 4.233
Cu In Mn
1 2 1
Direct
0.500 0.500 0.500
0.000 0.500 0.000
0.000 0.000 0.500
0.500 0.000 0.000
```

Calculated values
calculated density	8.81	Mg/m³
VASP energy	-100.12	eV/cell
total magnetization	0.818	μB per atom
calculated formation energy	0.027	eV/atom


# 17
Entry from Alexandria via LeMat-Bulk: a crystal of MnInCu2 relaxed with PBEsol (SCAN).

```
MnInCu2
1.0
-2.687 -0.385 -0.971
-0.440 -1.180 -2.593
-1.210 -8.006 2.246
Cu In Mn
2 1 1
Direct
0.001 0.001 0.996
0.743 0.743 0.772
0.498 0.498 0.506
0.258 0.258 0.225
```

Calculated values
calculated density	8.32	Mg/m³
VASP energy	-81.24	eV/cell
total magnetization	0.954	μB per atom
calculated formation energy	0.199	eV/atom


# 18
Entry from Alexandria via LeMat-Bulk: a crystal of Mn2InCu4Sn relaxed with PBEsol (SCAN).

```
Mn2InCu4Sn
1.0
4.315 0.000 0.000
2.157 3.737 0.000
2.157 1.246 7.037
Mn In Cu Sn
2 1 4 1
Direct
0.749 0.749 0.752
0.251 0.251 0.248
0.000 0.000 0.000
0.375 0.375 0.875
0.875 0.875 0.375
0.125 0.125 0.625
0.625 0.625 0.125
0.500 0.500 0.500
```

Calculated values
calculated density	8.75	Mg/m³
VASP energy	-167.30	eV/cell
total magnetization	1.001	μB per atom
calculated formation energy	-0.086	eV/atom


# 19
Entry from Alexandria via LeMat-Bulk: a crystal of InCu2Mo relaxed with PBEsol (SCAN).

```
InCu2Mo
1.0
-0.345 1.485 -2.331
-2.430 1.268 -0.496
2.013 8.192 3.256
Cu In Mo
2 1 1
Direct
0.253 0.253 0.242
0.747 0.747 0.758
0.500 0.500 0.500
0.000 0.000 0.000
```

Calculated values
calculated density	9.38	Mg/m³
VASP energy	-97.03	eV/cell
total magnetization	0.000	μB per atom
calculated formation energy	0.410	eV/atom


# 20
Entry from Alexandria via LeMat-Bulk: a crystal of InCuMo2 relaxed with PBEsol (SCAN).

```
InCuMo2
1.0
3.746 0.000 0.000
0.000 3.746 0.000
-1.873 -1.873 4.397
Cu In Mo
1 1 2
Direct
0.500 0.500 0.000
0.000 0.000 0.000
0.750 0.250 0.500
0.250 0.750 0.500
```

Calculated values
calculated density	9.96	Mg/m³
VASP energy	-117.35	eV/cell
total magnetization	0.000	μB per atom
calculated formation energy	0.253	eV/atom